The following is a PBE+U calculation of a relaxed NaVClO2 crystal, from Alexandria via LeMat-Bulk.

Lattice parameters (Å, degrees): 3.732 6.487 7.701 98.65 90.00 90.00
Atoms (fractional coordinates):
Cl: 0.750 0.444 0.280
O: 0.250 0.036 0.675
O: 0.750 0.893 0.930
O: 0.750 0.964 0.325
Na: 0.750 0.239 0.595
V: 0.250 0.912 0.851
Na: 0.250 0.761 0.405
O: 0.250 0.107 0.070
Cl: 0.250 0.556 0.720
V: 0.750 0.088 0.149

Computed properties:
total magnetization: 2.00 Bohr magnetons per cell
energy: -5.949 eV/atom
SG: P2_1/m, No. 11
N(E_F): 0.000 states/eV/atom